First-principles (GGA-PBE) data for a geometry-optimized SnAs3 structure, as listed in Alexandria.

a = 3.936 Å, b = 5.477 Å, c = 4.504 Å
α = 90.00°, β = 90.00°, γ = 90.00°
Space group Pmm2 (No. 25)
Inequivalent atoms, fractional coordinates:
Sn 0.000 0.000 0.000 (multiplicity 1)
As 0.000 0.500 0.852 (multiplicity 1)
As 0.500 0.000 0.415 (multiplicity 1)
As 0.500 0.500 0.487 (multiplicity 1)

## Properties
The crystal system is orthorhombic. The calculation puts the volume at 24.277 Å³ per atom. The formation energy comes out at 0.00 eV per atom. The energy comes out at -17.953 eV for the cell shown.